A relaxed structure of K2Pr2CrO6, computed with PBE+U.

abc: 6.008 10.248 6.578
angles: 90.00 103.93 90.00
Space group C2/m (No. 12)
Unique sites:
K 0.000 0.154 0.000 [4 per cell]
Pr 0.000 0.335 0.500 [4 per cell]
Cr 0.000 0.000 0.500 [2 per cell]
O 0.190 0.148 0.670 [8 per cell]
O 0.222 0.000 0.328 [4 per cell]

volume	17.9	Å³/atom
DFT total energy	-6.70	eV/atom